Fe2Ag: optimized geometry, PBE.

Energy relative to the elements (meV/atom): 759
Fermi-level density of states (states/eV/f.u.): 4.09

```
Fe2Ag
1.0
6.1572 0.0000 0.0000
-3.0786 5.3323 0.0000
0.0000 0.0000 4.2379
Fe Ag
6 3
Cartesian
-0.6958 1.2052 0.0000 Fe
-1.6660 2.8857 2.1189 Fe
1.3917 0.0000 0.0000 Fe
1.4126 2.4466 2.1189 Fe
3.3321 0.0000 2.1189 Fe
2.3828 4.1271 0.0000 Fe
0.0000 0.0000 2.1189 Ag
0.0000 3.5549 0.0000 Ag
3.0786 1.7774 0.0000 Ag
```